# 1
# TaHgTe2 | Alexandria | PBE | optimized geometry
# formation energy (no corrections) = 0.45 eV/atom
# final energy = -16.640 eV per formula unit
data_TaHgTe2
_chemical_formula_sum 'Ta3 Hg3 Te6'
_cell_length_a 3.1621
_cell_length_b 3.1621
_cell_length_c 38.2272
_cell_angle_alpha 90.00
_cell_angle_beta 90.00
_cell_angle_gamma 120.00
_symmetry_space_group_name_H-M 'R -3 m'
_symmetry_Int_Tables_number 166
_symmetry_space_group_name_Hall '-R 3 2"'
loop_
_atom_site_label
_atom_site_type_symbol
_atom_site_fract_x
_atom_site_fract_y
_atom_site_fract_z
Ta1 Ta 0.0000 0.0000 0.0000
Hg1 Hg 0.0000 0.0000 0.5000
Te1 Te 0.0000 0.0000 0.0740

# 2
# LaTmPd2 | Alexandria | PBE | optimized geometry
# formation energy from the elements = -337.4 kJ/mol of formula units
# E above lowest polymorph = 0 meV/atom
# final energy = -23.281 eV per formula unit
data_LaTmPd2
_chemical_formula_sum 'La2 Tm2 Pd4'
_cell_length_a 4.620
_cell_length_b 3.823
_cell_length_c 10.730
_cell_angle_alpha 90.00
_cell_angle_beta 90.00
_cell_angle_gamma 90.00
_symmetry_space_group_name_H-M 'A m m 2'
_symmetry_Int_Tables_number 38
loop_
_symmetry_equiv_pos_as_xyz
'x,y,z'
'-x,-y,z'
'-x,y,z'
'x,-y,z'
'x,y+1/2,z+1/2'
'-x,-y+1/2,z+1/2'
'-x,y+1/2,z+1/2'
'x,-y+1/2,z+1/2'
loop_
_atom_site_label
_atom_site_type_symbol
_atom_site_fract_x
_atom_site_fract_y
_atom_site_fract_z
La1 La 0.000 0.000 0.000
Tm1 Tm 0.500 0.000 0.727
Pd1 Pd 0.000 0.000 0.272
Pd2 Pd 0.500 0.000 0.445

# 3
# CdSbIr2 | Alexandria | PBE | optimized geometry
# formation energy (no corrections) = 0.35 eV/atom
# E above lowest polymorph = 188 meV/atom
# final energy = -21.368 eV per formula unit
data_CdSbIr2
_chemical_formula_sum 'Cd3 Sb3 Ir6'
_cell_length_a 2.9511
_cell_length_b 2.9511
_cell_length_c 31.4770
_cell_angle_alpha 90.00
_cell_angle_beta 90.00
_cell_angle_gamma 120.00
_symmetry_space_group_name_H-M 'R 3 m'
_symmetry_Int_Tables_number 160
_symmetry_space_group_name_Hall 'R 3 -2"'
loop_
_atom_site_label
_atom_site_type_symbol
_atom_site_fract_x
_atom_site_fract_y
_atom_site_fract_z
Cd1 Cd 0.0000 0.0000 0.0000
Sb1 Sb 0.0000 0.0000 0.7866
Ir1 Ir 0.0000 0.0000 0.2583
Ir2 Ir 0.0000 0.0000 0.5247

# 4
# CaMgRu | Alexandria | PBE | optimized geometry
# formation energy from the elements = 39.0 kJ/mol of formula units
# final energy = -12.467 eV per formula unit
data_CaMgRu
_chemical_formula_sum 'Ca8 Mg8 Ru8'
_cell_length_a 6.042
_cell_length_b 12.584
_cell_length_c 7.484
_cell_angle_alpha 90.00
_cell_angle_beta 90.00
_cell_angle_gamma 90.00
_symmetry_space_group_name_H-M 'C m c e'
_symmetry_Int_Tables_number 64
_symmetry_space_group_name_Hall '-C 2ac 2'
loop_
_atom_site_label
_atom_site_type_symbol
_atom_site_fract_x
_atom_site_fract_y
_atom_site_fract_z
Ca1 Ca 0.000 0.189 0.099
Mg1 Mg 0.250 0.047 0.750
Ru1 Ru 0.000 0.093 0.455

# 5
# SrPt2I | Alexandria | PBE | optimized geometry
# formation energy (no corrections) = 0.01 eV/atom
# E above lowest polymorph = 202 meV/atom
# final energy = -15.284 eV per formula unit
data_SrPt2I
_chemical_formula_sum 'Sr4 Pt8 I4'
_cell_length_a 7.184
_cell_length_b 7.184
_cell_length_c 7.184
_cell_angle_alpha 90.00
_cell_angle_beta 90.00
_cell_angle_gamma 90.00
_symmetry_space_group_name_H-M 'F m -3 m'
_symmetry_Int_Tables_number 225
_symmetry_space_group_name_Hall '-F 4 2 3'
loop_
_atom_site_label
_atom_site_type_symbol
_atom_site_fract_x
_atom_site_fract_y
_atom_site_fract_z
Sr1 Sr 0.000 0.000 0.000
Pt1 Pt 0.250 0.250 0.250
I1 I 0.000 0.000 0.500

# 6
# Sr2ZnRh | Alexandria | PBE | optimized geometry
# formation energy from the elements = -139.7 kJ/mol of formula units
# final energy = -13.437 eV per formula unit
data_Sr2ZnRh
_chemical_formula_sum 'Sr6 Zn3 Rh3'
_cell_length_a 4.3896
_cell_length_b 4.3896
_cell_length_c 23.4494
_cell_angle_alpha 90.00
_cell_angle_beta 90.00
_cell_angle_gamma 120.00
_symmetry_space_group_name_H-M 'R 3 m'
_symmetry_Int_Tables_number 160
_symmetry_space_group_name_Hall 'R 3 -2"'
loop_
_atom_site_label
_atom_site_type_symbol
_atom_site_fract_x
_atom_site_fract_y
_atom_site_fract_z
Sr1 Sr 0.0000 0.0000 0.0000
Sr2 Sr 0.0000 0.0000 0.1710
Zn1 Zn 0.0000 0.0000 0.7522
Rh1 Rh 0.0000 0.0000 0.4185